Record 1
The following is a PBE-GGA calculation of crystalline Tm2Sc8Sn at its relaxed geometry, from Alexandria via LeMat-Bulk.

Cell: 5.656 9.960 9.960 Å, 35.02 62.21 62.21°
Fractional positions:
1 Tm 0.915 0.286 0.286
2 Tm 0.085 0.714 0.714
3 Sc 0.313 0.089 0.598
4 Sc 0.313 0.598 0.089
5 Sc 0.687 0.911 0.402
6 Sc 0.222 0.519 0.519
7 Sc 0.687 0.402 0.911
8 Sc 0.313 0.092 0.092
9 Sc 0.687 0.908 0.908
10 Sc 0.778 0.481 0.481
11 Sn 0.000 0.000 0.000

Calculated formation energy = -0.9 kJ per mole of atoms
Calculated volume = 281 Å³/cell
ρ = 4.8 g cm⁻³
Space-group type = No. 12
DOS(E_F) = 1.727 states/eV/atom

---

Record 2
The following is a PBE-GGA calculation of crystalline La2Y2Ge at its relaxed geometry, from Alexandria via LeMat-Bulk.

Cell: 7.821 7.821 5.189 Å, 90.00 90.00 90.00°
Fractional positions:
1 Y 0.345 0.845 0.000
2 Y 0.845 0.655 0.000
3 Y 0.655 0.155 0.000
4 Y 0.155 0.345 0.000
5 Ge 0.000 0.000 0.000
6 Ge 0.500 0.500 0.000
7 La 0.155 0.655 0.500
8 La 0.655 0.845 0.500
9 La 0.845 0.345 0.500
10 La 0.345 0.155 0.500

Calculated formation energy = -16.7 kJ per mole of atoms
Calculated volume = 317 Å³/cell
ρ = 5.5 g cm⁻³
Space-group type = No. 127
DOS(E_F) = 1.120 states/eV/atom

---

Record 3
The following is a PBE-GGA calculation of crystalline TeBr3N2 at its relaxed geometry, from Alexandria via LeMat-Bulk.

Cell: 5.600 8.760 9.183 Å, 87.74 72.22 90.01°
Site moments in Bohr magnetons follow the coordinates.
Fractional positions:
1 Te 0.000 0.750 0.000  0.01
2 Te 0.000 0.250 0.000  0.01
3 Br 0.500 0.250 0.000  0.02
4 Br 0.500 0.750 0.000  0.02
5 Br 0.108 0.041 0.783  0.03
6 Br 0.891 0.459 0.217  0.03
7 Br 0.109 0.541 0.783  0.03
8 Br 0.892 0.959 0.217  0.03
9 N 0.697 0.853 0.604  1.93
10 N 0.699 0.352 0.604  1.93
11 N 0.301 0.648 0.396  1.93
12 N 0.303 0.147 0.396  1.93

Calculated volume = 429 Å³/cell
ρ = 3.1 g cm⁻³
Formation energy (no corrections) = 1.56 eV/atom
Space-group type = No. 15
DOS(E_F) = 0.143 states/eV/atom

---

Record 4
The following is a PBE-GGA calculation of crystalline U2AlTe6 at its relaxed geometry, from Alexandria via LeMat-Bulk.

Cell: 6.972 7.830 9.711 Å, 90.00 89.12 90.00°
Site moments in Bohr magnetons follow the coordinates.
Fractional positions:
1 U 0.948 0.362 0.745  1.96
2 U 0.552 0.862 0.755  1.96
3 U 0.448 0.138 0.245  1.96
4 U 0.052 0.638 0.255  1.96
5 Al 0.500 0.500 0.000  0.00
6 Al 0.000 0.000 0.500  0.00
7 Te 0.848 0.973 0.242  -0.11
8 Te 0.839 0.674 0.558  -0.11
9 Te 0.849 0.669 0.938  -0.10
10 Te 0.651 0.169 0.562  -0.10
11 Te 0.661 0.174 0.942  -0.11
12 Te 0.652 0.473 0.258  -0.11
13 Te 0.152 0.027 0.758  -0.11
14 Te 0.161 0.326 0.442  -0.11
15 Te 0.151 0.331 0.062  -0.10
16 Te 0.349 0.831 0.438  -0.10
17 Te 0.339 0.826 0.058  -0.11
18 Te 0.348 0.527 0.742  -0.11

Calculated volume = 530 Å³/cell
ρ = 7.9 g cm⁻³
Formation energy (no corrections) = -0.47 eV/atom
Space-group type = No. 14
DOS(E_F) = 1.936 states/eV/atom

---

Record 5
The following is a PBE-GGA calculation of crystalline Pu2ScCu2S6 at its relaxed geometry, from Alexandria via LeMat-Bulk.

Cell: 7.005 7.005 7.532 Å, 62.29 62.29 60.00°
Site moments in Bohr magnetons follow the coordinates.
Fractional positions:
1 Pu 0.811 0.811 0.568  5.12
2 Pu 0.189 0.189 0.432  5.12
3 Sc 0.000 0.000 0.000  0.02
4 Cu 0.426 0.426 0.722  -0.18
5 Cu 0.574 0.574 0.278  -0.18
6 S 0.755 0.755 0.272  -0.14
7 S 0.218 0.755 0.272  -0.14
8 S 0.755 0.218 0.272  -0.14
9 S 0.245 0.782 0.728  -0.14
10 S 0.782 0.245 0.728  -0.14
11 S 0.245 0.245 0.728  -0.14

Calculated volume = 270 Å³/cell
ρ = 5.2 g cm⁻³
Formation energy (no corrections) = -0.89 eV/atom
Space-group type = No. 166
DOS(E_F) = 2.200 states/eV/atom

---

Record 6
The following is a PBE-GGA calculation of crystalline In2Ir3 at its relaxed geometry, from Alexandria via LeMat-Bulk.

Cell: 11.130 11.130 11.130 Å, 15.37 15.37 15.37°
Fractional positions:
1 In 0.400 0.400 0.400
2 In 0.600 0.600 0.600
3 Ir 0.000 0.000 0.000
4 Ir 0.802 0.802 0.802
5 Ir 0.198 0.198 0.198

ΔE to the lowest computed polymorph = 91 meV/atom
Calculated formation energy = 20.9 kJ per mole of atoms
Calculated volume = 84 Å³/cell
ρ = 15.9 g cm⁻³
Space-group type = No. 166
DOS(E_F) = 1.270 states/eV/atom

---

Record 7
The following is a PBE-GGA calculation of crystalline RbBiCl2 at its relaxed geometry, from Alexandria via LeMat-Bulk.

Cell: 5.613 5.613 5.613 Å, 60.00 60.00 60.00°
Site moments in Bohr magnetons follow the coordinates.
Fractional positions:
1 Bi 0.500 0.500 0.500  1.15
2 Rb 0.000 0.000 0.000  0.02
3 Cl 0.250 0.250 0.250  0.10
4 Cl 0.750 0.750 0.750  0.10

ΔE to the lowest computed polymorph = 391 meV/atom
Calculated volume = 125 Å³/cell
ρ = 4.9 g cm⁻³
Formation energy (no corrections) = -0.68 eV/atom
Space-group type = No. 225
DOS(E_F) = 1.236 states/eV/atom